No. 1
{"formula": "LaV2SiNi", "functional": "PBE-GGA", "state": "optimized geometry", "lattice": [[-3.859, -2.225, 0.857], [2.571, -4.500, -0.108], [0.790, 0.345, 4.454]], "species": ["V", "Si", "La", "Ni", "V"], "fractional_positions": [[0.500, 0.000, 0.000], [0.000, 0.500, 0.000], [0.000, 0.000, 0.000], [0.500, 0.500, 0.500], [0.000, 0.000, 0.500]], "dos_ef_per_ev_atom": 1.389, "density_g_cm3": 5.1, "space_group": "P4/mmm, No. 123", "raw_formation_energy_ev_per_atom": 2.069}



No. 2
{"formula": "La2ZnSi4Ni3", "functional": "PBE-GGA", "state": "optimized geometry", "lattice": [[4.129, 0.000, 0.000], [0.000, 4.129, 0.000], [0.000, 0.000, 9.814]], "species": ["Ni", "Si", "Ni", "Si", "La", "Ni", "Si", "Zn", "La", "Si"], "fractional_positions": [[0.000, 0.000, 0.500], [0.000, 0.000, 0.000], [0.000, 0.500, 0.116], [0.000, 0.500, 0.361], [0.000, 0.500, 0.755], [0.500, 0.000, 0.884], [0.500, 0.500, 0.000], [0.500, 0.500, 0.500], [0.500, 0.000, 0.245], [0.500, 0.000, 0.639]], "dos_ef_per_ev_atom": 0.554, "density_g_cm3": 6.3, "space_group": "P-4m2, No. 115", "raw_formation_energy_ev_per_atom": -0.727}



Copy entry 2 word for word.
{"formula": "La2ZnSi4Ni3", "functional": "PBE-GGA", "state": "optimized geometry", "lattice": [[4.129, 0.000, 0.000], [0.000, 4.129, 0.000], [0.000, 0.000, 9.814]], "species": ["Ni", "Si", "Ni", "Si", "La", "Ni", "Si", "Zn", "La", "Si"], "fractional_positions": [[0.000, 0.000, 0.500], [0.000, 0.000, 0.000], [0.000, 0.500, 0.116], [0.000, 0.500, 0.361], [0.000, 0.500, 0.755], [0.500, 0.000, 0.884], [0.500, 0.500, 0.000], [0.500, 0.500, 0.500], [0.500, 0.000, 0.245], [0.500, 0.000, 0.639]], "dos_ef_per_ev_atom": 0.554, "density_g_cm3": 6.3, "space_group": "P-4m2, No. 115", "raw_formation_energy_ev_per_atom": -0.727}